Entry 1:
# Ac3Nd8Sm4 PBE relaxed
# **E_form**: 0.33 eV/atom
# **Symmetry**: No. 12
# **V**: 563.9 Å³ per cell
data_Ac3Nd8Sm4
_chemical_formula_sum 'Ac3 Nd8 Sm4'
_cell_length_a 7.057
_cell_length_b 9.614
_cell_length_c 9.614
_cell_angle_alpha 82.20
_cell_angle_beta 111.59
_cell_angle_gamma 111.59
_symmetry_space_group_name_H-M 'P 1'
_symmetry_Int_Tables_number 1
loop_
_symmetry_equiv_pos_as_xyz
'x,y,z'
loop_
_atom_site_label
_atom_site_fract_x
_atom_site_fract_y
_atom_site_fract_z
Sm1 0.000 0.500 0.000
Nd1 0.000 0.293 0.707
Sm2 0.000 0.000 0.000
Nd2 0.500 0.241 0.759
Nd3 0.000 0.707 0.293
Sm3 0.000 0.000 0.500
Nd4 0.217 0.241 0.241
Nd5 0.500 0.759 0.241
Ac1 0.500 0.000 0.500
Nd6 0.783 0.759 0.759
Sm4 0.500 0.000 0.000
Nd7 0.205 0.704 0.704
Ac2 0.500 0.500 0.500
Ac3 0.500 0.500 0.000
Nd8 0.795 0.296 0.296

Entry 2:
# Ba2EuBiO6 PBE relaxed
# **Symmetry**: No. 225
# **Formation energy (no corrections)**: -2171.1 meV/atom
# **V**: 170.3 Å³ per cell
data_Ba2EuBiO6
_chemical_formula_sum 'Ba2 Eu1 Bi1 O6'
_cell_length_a 6.222
_cell_length_b 6.222
_cell_length_c 6.222
_cell_angle_alpha 60.00
_cell_angle_beta 60.00
_cell_angle_gamma 60.00
_symmetry_space_group_name_H-M 'P 1'
_symmetry_Int_Tables_number 1
loop_
_symmetry_equiv_pos_as_xyz
'x,y,z'
loop_
_atom_site_label
_atom_site_fract_x
_atom_site_fract_y
_atom_site_fract_z
O1 0.758 0.242 0.758
Bi1 0.000 0.000 0.000
O2 0.242 0.242 0.758
Ba1 0.250 0.250 0.250
O3 0.242 0.758 0.758
Eu1 0.500 0.500 0.500
O4 0.242 0.758 0.242
O5 0.758 0.758 0.242
O6 0.758 0.242 0.242
Ba2 0.750 0.750 0.750